The following is a DFT calculation (PBEsol) of an optimized crystal structure of BeCu2Cl.

abc: 4.8961 7.4359 2.7881
angles: 90.00 90.00 90.00
With the nearest neighbours (Å) after each atom.
Space group Cmmm (No. 65)
Unique sites:
Be 0.0000 0.0000 0.0000 [2 per cell]  2 Cl 2.45, 8 Cu 2.63
Cu 0.2500 0.2500 0.5000 [4 per cell]  2 Cu 2.45, 4 Cl 2.63, 4 Be 2.63
Cl 0.0000 0.5000 0.0000 [2 per cell]  2 Be 2.45, 8 Cu 2.63

Magnetic moment   0.00 μB/cell
Energy relative to the lowest polymorph listed for this composition   236 meV/atom
Energy   -26.18 eV per cell
V   12.7 Å³/atom
Formation energy without anion corrections   0.3971 eV per atom